Below is SnBi2I8 after structural relaxation, with properties calculated at the PBE level.

```
SnBi2I8
1.0
8.028 0.546 0.454
0.819 8.984 -0.307
0.819 1.341 8.888
Sn Bi I
1 2 8
direct
0.000 0.000 0.000 Sn
0.378 0.180 0.180 Bi
0.622 0.820 0.820 Bi
0.782 0.103 0.724 I
0.218 0.276 0.897 I
0.742 0.216 0.216 I
0.258 0.784 0.784 I
0.782 0.724 0.103 I
0.218 0.897 0.276 I
0.199 0.385 0.385 I
0.801 0.615 0.615 I
```

Output
- Spin magnetization: 0.000 μB/atom
- Calculated volume: 57.95 Å³/atom
- Electronic total energy: -2.5635 eV per atom